# 1
This record from Alexandria describes Pm2HfGe6 after structural relaxation. The functional is PBE-GGA.

The space group is Cm (No. 8) and the conventional cell measures 13.0099, 9.0550 and 3.9603 Å, with angles of 90.00, 107.42 and 90.00 degrees. Symmetry generates all atoms from Pm at (0.0000, 0.0000, 0.0000), Pm at (0.2077, 0.5000, 0.7097), Hf at (0.3539, 0.0000, 0.3564), Ge at (0.0330, 0.2858, 0.5360), Ge at (0.1747, 0.2142, 0.1787) and Ge at (0.3538, 0.3323, 0.3545).

The formation energy is -0.109 eV/atom.


# 2
This record from Alexandria describes Ce2PmHg8 after structural relaxation. The functional is PBE-GGA.

The space group is Immm (No. 71) and the conventional cell measures 5.2474, 7.3900 and 15.0064 Å, with angles of 90.00, 90.00 and 90.00 degrees. Symmetry generates all atoms from Ce at (0.0000, 0.0000, 0.1914), Pm at (0.0000, 0.0000, 0.5000), Hg at (0.0000, 0.2150, 0.0000), Hg at (0.0000, 0.2869, 0.3535) and Hg at (0.0000, 0.5000, 0.1601).

For the relative energy among the computed polymorphs, the calculation gives 7 meV/atom. The formation energy is -0.293 eV/atom.


# 3
This record from Alexandria describes BaBe2Ga2 after structural relaxation. The functional is PBE-GGA.

The space group is I4/mmm (No. 139) and the conventional cell measures 4.2409, 4.2409 and 11.0058 Å, with angles of 90.00, 90.00 and 90.00 degrees. Symmetry generates all atoms from Ba at (0.0000, 0.0000, 0.0000), Be at (0.0000, 0.5000, 0.2500) and Ga at (0.0000, 0.0000, 0.3544).

The formation energy is -0.048 eV/atom.